1.
# PBE-GGA Tb2Ga8Cu, relaxed
# Calculated total energy in Ry/atom: -0.2815
# Energy of formation in meV per atom: -415
# Crystal system: tetragonal
data_Tb2Ga8Cu
_chemical_formula_sum 'Tb2 Ga8 Cu1'
_cell_length_a 4.322
_cell_length_b 4.322
_cell_length_c 11.127
_cell_angle_alpha 90.00
_cell_angle_beta 90.00
_cell_angle_gamma 90.00
_space_group_name_H-M_alt 'P 1'
_space_group_IT_number 1
loop_
_space_group_symop_operation_xyz
'x,y,z'
loop_
_atom_site_label
_atom_site_type_symbol
_atom_site_fract_x
_atom_site_fract_y
_atom_site_fract_z
Ga1 Ga 0.500 0.500 0.303
Ga2 Ga 0.000 0.500 0.877
Cu1 Cu 0.000 0.000 0.000
Ga3 Ga 0.500 0.000 0.123
Ga4 Ga 0.500 0.500 0.697
Ga5 Ga 0.500 0.000 0.500
Ga6 Ga 0.000 0.500 0.500
Tb1 Tb 0.000 0.000 0.692
Tb2 Tb 0.000 0.000 0.308
Ga7 Ga 0.500 0.000 0.877
Ga8 Ga 0.000 0.500 0.123

---

2.
# PBE-GGA TiZn3Au2, relaxed
# Calculated total energy in Ry/atom: -0.2402
# Energy of formation in meV per atom: -223
# Crystal system: monoclinic
data_TiZn3Au2
_chemical_formula_sum 'Ti2 Zn6 Au4'
_cell_length_a 4.309
_cell_length_b 7.038
_cell_length_c 8.413
_cell_angle_alpha 122.70
_cell_angle_beta 90.00
_cell_angle_gamma 107.83
_space_group_name_H-M_alt 'P 1'
_space_group_IT_number 1
loop_
_space_group_symop_operation_xyz
'x,y,z'
loop_
_atom_site_label
_atom_site_type_symbol
_atom_site_fract_x
_atom_site_fract_y
_atom_site_fract_z
Zn1 Zn 0.638 0.276 0.835
Zn2 Zn 0.724 0.448 0.579
Zn3 Zn 0.037 0.074 0.376
Ti1 Ti 0.110 0.221 0.022
Zn4 Zn 0.362 0.724 0.165
Au1 Au 0.567 0.135 0.204
Zn5 Zn 0.963 0.926 0.624
Zn6 Zn 0.276 0.552 0.421
Ti2 Ti 0.890 0.779 0.978
Au2 Au 0.209 0.419 0.761
Au3 Au 0.791 0.581 0.239
Au4 Au 0.433 0.865 0.796

---

3.
# PBE-GGA ZnHgHF2, relaxed
# Calculated total energy in Ry/atom: -0.1414
# Crystal system: tetragonal
data_ZnHgHF2
_chemical_formula_sum 'Zn1 Hg1 H1 F2'
_cell_length_a 4.539
_cell_length_b 5.372
_cell_length_c 4.539
_cell_angle_alpha 90.00
_cell_angle_beta 90.00
_cell_angle_gamma 90.00
_space_group_name_H-M_alt 'P 1'
_space_group_IT_number 1
loop_
_space_group_symop_operation_xyz
'x,y,z'
loop_
_atom_site_label
_atom_site_type_symbol
_atom_site_fract_x
_atom_site_fract_y
_atom_site_fract_z
F1 F 0.500 0.000 0.000
H1 H 0.500 0.500 0.500
F2 F 0.000 0.000 0.500
Zn1 Zn 0.000 0.500 0.000
Hg1 Hg 0.000 0.000 0.000

---

4.
# PBE-GGA Ba2Sb4Pt3, relaxed
# ΔE_f (raw) in eV per atom: -0.67
# Calculated total energy in Ry/atom: -0.3636
# Crystal system: orthorhombic
data_Ba2Sb4Pt3
_chemical_formula_sum 'Ba2 Sb4 Pt3'
_cell_length_a 6.618
_cell_length_b 6.618
_cell_length_c 7.555
_cell_angle_alpha 101.89
_cell_angle_beta 101.89
_cell_angle_gamma 121.98
_space_group_name_H-M_alt 'P 1'
_space_group_IT_number 1
loop_
_space_group_symop_operation_xyz
'x,y,z'
loop_
_atom_site_label
_atom_site_type_symbol
_atom_site_fract_x
_atom_site_fract_y
_atom_site_fract_z
Pt1 Pt 0.000 0.500 0.000
Ba1 Ba 0.364 0.364 0.728
Sb1 Sb 0.024 0.697 0.721
Pt2 Pt 0.500 0.000 0.000
Sb2 Sb 0.976 0.303 0.279
Pt3 Pt 0.000 0.000 0.000
Sb3 Sb 0.303 0.976 0.279
Sb4 Sb 0.697 0.024 0.721
Ba2 Ba 0.636 0.636 0.272

---

5.
# PBE-GGA Sc2GaFe2Rh5, relaxed
# Calculated total energy in Ry/atom: -0.5423
# Energy of formation in meV per atom: -441
# Crystal system: tetragonal
data_Sc2GaFe2Rh5
_chemical_formula_sum 'Sc4 Ga2 Fe4 Rh10'
_cell_length_a 3.638
_cell_length_b 9.228
_cell_length_c 9.228
_cell_angle_alpha 90.00
_cell_angle_beta 90.00
_cell_angle_gamma 90.00
_space_group_name_H-M_alt 'P 1'
_space_group_IT_number 1
loop_
_space_group_symop_operation_xyz
'x,y,z'
loop_
_atom_site_label
_atom_site_type_symbol
_atom_site_fract_x
_atom_site_fract_y
_atom_site_fract_z
Rh1 Rh 0.500 0.931 0.202
Sc1 Sc 0.000 0.827 0.673
Sc2 Sc 0.000 0.673 0.173
Rh2 Rh 0.500 0.202 0.069
Rh3 Rh 0.500 0.431 0.298
Rh4 Rh 0.500 0.000 0.500
Fe1 Fe 0.000 0.373 0.127
Rh5 Rh 0.500 0.298 0.569
Ga1 Ga 0.000 0.500 0.500
Rh6 Rh 0.500 0.500 0.000
Sc3 Sc 0.000 0.327 0.827
Fe2 Fe 0.000 0.873 0.373
Ga2 Ga 0.000 0.000 0.000
Rh7 Rh 0.500 0.798 0.931
Fe3 Fe 0.000 0.627 0.873
Rh8 Rh 0.500 0.569 0.702
Rh9 Rh 0.500 0.702 0.431
Fe4 Fe 0.000 0.127 0.627
Sc4 Sc 0.000 0.173 0.327
Rh10 Rh 0.500 0.069 0.798

---

6.
# PBE-GGA CaBe2Cu, relaxed
# Calculated total energy in Ry/atom: -0.2507
# Polymorph energy (0 for the lowest one) in meV/atom: 0
# Energy of formation in meV per atom: -23
# Crystal system: trigonal
data_CaBe2Cu
_chemical_formula_sum 'Ca1 Be2 Cu1'
_cell_length_a 5.490
_cell_length_b 5.490
_cell_length_c 5.490
_cell_angle_alpha 41.24
_cell_angle_beta 41.24
_cell_angle_gamma 41.24
_space_group_name_H-M_alt 'P 1'
_space_group_IT_number 1
loop_
_space_group_symop_operation_xyz
'x,y,z'
loop_
_atom_site_label
_atom_site_type_symbol
_atom_site_fract_x
_atom_site_fract_y
_atom_site_fract_z
Ca1 Ca 0.250 0.250 0.250
Cu1 Cu 0.750 0.750 0.750
Be1 Be 0.433 0.433 0.433
Be2 Be 0.067 0.067 0.067

---

7.
# PBE-GGA SrZn2As, relaxed
# Calculated total energy in Ry/atom: -0.1905
# Energy of formation in meV per atom: -372
# Crystal system: monoclinic
data_SrZn2As
_chemical_formula_sum 'Sr1 Zn2 As1'
_cell_length_a 4.522
_cell_length_b 4.535
_cell_length_c 4.929
_cell_angle_alpha 87.79
_cell_angle_beta 90.00
_cell_angle_gamma 90.00
_space_group_name_H-M_alt 'P 1'
_space_group_IT_number 1
loop_
_space_group_symop_operation_xyz
'x,y,z'
loop_
_atom_site_label
_atom_site_type_symbol
_atom_site_fract_x
_atom_site_fract_y
_atom_site_fract_z
Zn1 Zn 0.000 0.205 0.993
Zn2 Zn 0.000 0.295 0.507
As1 As 0.500 0.250 0.250
Sr1 Sr 0.500 0.750 0.750

---

8.
# PBE-GGA Tb2TmZr3N6, relaxed
# ΔE_f (raw) in eV per atom: -1.73
# Calculated total energy in Ry/atom: -0.6745
# Crystal system: monoclinic
data_Tb2TmZr3N6
_chemical_formula_sum 'Tb2 Tm1 Zr3 N6'
_cell_length_a 5.784
_cell_length_b 5.784
_cell_length_c 5.839
_cell_angle_alpha 99.54
_cell_angle_beta 99.54
_cell_angle_gamma 119.92
_space_group_name_H-M_alt 'P 1'
_space_group_IT_number 1
loop_
_space_group_symop_operation_xyz
'x,y,z'
loop_
_atom_site_label
_atom_site_type_symbol
_atom_site_fract_x
_atom_site_fract_y
_atom_site_fract_z
Zr1 Zr 0.500 0.500 0.500
N1 N 0.240 0.240 0.734
Tm1 Tm 0.000 0.000 0.000
Zr2 Zr 0.834 0.166 0.500
N2 N 0.582 0.911 0.734
N3 N 0.418 0.089 0.266
Tb1 Tb 0.667 0.333 0.000
Zr3 Zr 0.166 0.834 0.500
N4 N 0.089 0.418 0.266
N5 N 0.911 0.582 0.734
Tb2 Tb 0.333 0.667 0.000
N6 N 0.760 0.760 0.266

---

9.
# PBE-GGA YHoF6, relaxed
# ΔE_f (raw) in eV per atom: -4.11
# Calculated total energy in Ry/atom: -0.5070
# Crystal system: trigonal
data_YHoF6
_chemical_formula_sum 'Y1 Ho1 F6'
_cell_length_a 5.876
_cell_length_b 5.879
_cell_length_c 6.208
_cell_angle_alpha 61.72
_cell_angle_beta 61.71
_cell_angle_gamma 59.96
_space_group_name_H-M_alt 'P 1'
_space_group_IT_number 1
loop_
_space_group_symop_operation_xyz
'x,y,z'
loop_
_atom_site_label
_atom_site_type_symbol
_atom_site_fract_x
_atom_site_fract_y
_atom_site_fract_z
F1 F 0.749 0.175 0.749
F2 F 0.672 0.251 0.251
F3 F 0.174 0.328 0.749
F4 F 0.251 0.825 0.251
F5 F 0.826 0.672 0.251
Y1 Y 0.000 0.000 0.000
F6 F 0.328 0.749 0.749
Ho1 Ho 0.500 0.500 0.500

---

10.
# PBE-GGA Ti8CoIr2, relaxed
# Calculated total energy in Ry/atom: -0.6160
# Energy of formation in meV per atom: -383
# Crystal system: monoclinic
data_Ti8CoIr2
_chemical_formula_sum 'Ti8 Co1 Ir2'
_cell_length_a 4.405
_cell_length_b 5.959
_cell_length_c 7.463
_cell_angle_alpha 108.40
_cell_angle_beta 107.16
_cell_angle_gamma 90.00
_space_group_name_H-M_alt 'P 1'
_space_group_IT_number 1
loop_
_space_group_symop_operation_xyz
'x,y,z'
loop_
_atom_site_label
_atom_site_type_symbol
_atom_site_fract_x
_atom_site_fract_y
_atom_site_fract_z
Ti1 Ti 0.985 0.249 0.971
Ti2 Ti 0.658 0.936 0.315
Ti3 Ti 0.342 0.064 0.685
Ir1 Ir 0.815 0.306 0.631
Ti4 Ti 0.015 0.751 0.029
Ti5 Ti 0.407 0.562 0.815
Co1 Co 0.500 0.000 0.000
Ti6 Ti 0.810 0.727 0.620
Ti7 Ti 0.190 0.273 0.380
Ir2 Ir 0.185 0.694 0.369
Ti8 Ti 0.593 0.438 0.185

---

11.
# PBE-GGA Ac3TlRh, relaxed
# Calculated total energy in Ry/atom: -0.3597
# Polymorph energy (0 for the lowest one) in meV/atom: 0
# Energy of formation in meV per atom: -485
# Crystal system: orthorhombic
data_Ac3TlRh
_chemical_formula_sum 'Ac12 Tl4 Rh4'
_cell_length_a 4.321
_cell_length_b 10.230
_cell_length_c 16.382
_cell_angle_alpha 90.00
_cell_angle_beta 90.00
_cell_angle_gamma 90.00
_space_group_name_H-M_alt 'P 1'
_space_group_IT_number 1
loop_
_space_group_symop_operation_xyz
'x,y,z'
loop_
_atom_site_label
_atom_site_type_symbol
_atom_site_fract_x
_atom_site_fract_y
_atom_site_fract_z
Tl1 Tl 0.250 0.941 0.328
Ac1 Ac 0.250 0.280 0.785
Ac2 Ac 0.250 0.666 0.997
Ac3 Ac 0.250 0.024 0.108
Rh1 Rh 0.750 0.841 0.057
Tl2 Tl 0.250 0.441 0.172
Tl3 Tl 0.750 0.059 0.672
Ac4 Ac 0.250 0.166 0.503
Rh2 Rh 0.250 0.159 0.943
Ac5 Ac 0.250 0.780 0.715
Ac6 Ac 0.250 0.524 0.392
Rh3 Rh 0.250 0.659 0.557
Ac7 Ac 0.750 0.976 0.892
Ac8 Ac 0.750 0.720 0.215
Ac9 Ac 0.750 0.834 0.497
Ac10 Ac 0.750 0.220 0.285
Ac11 Ac 0.750 0.334 0.003
Rh4 Rh 0.750 0.341 0.443
Ac12 Ac 0.750 0.476 0.608
Tl4 Tl 0.750 0.559 0.828

---

12.
# PBE-GGA TbNdTlPd, relaxed
# Calculated total energy in Ry/atom: -0.3484
# Energy of formation in meV per atom: -501
# Crystal system: cubic
data_TbNdTlPd
_chemical_formula_sum 'Tb1 Nd1 Tl1 Pd1'
_cell_length_a 5.274
_cell_length_b 5.274
_cell_length_c 5.274
_cell_angle_alpha 60.00
_cell_angle_beta 60.00
_cell_angle_gamma 60.00
_space_group_name_H-M_alt 'P 1'
_space_group_IT_number 1
loop_
_space_group_symop_operation_xyz
'x,y,z'
loop_
_atom_site_label
_atom_site_type_symbol
_atom_site_fract_x
_atom_site_fract_y
_atom_site_fract_z
Tb1 Tb 0.500 0.500 0.500
Pd1 Pd 0.750 0.750 0.750
Nd1 Nd 0.000 0.000 0.000
Tl1 Tl 0.250 0.250 0.250